SrHfB3: optimized geometry, PBE-GGA.

Cell lengths 4.5394, 4.5394, 4.5394 Å; angles 90.00, 90.00, 90.00 degrees
With the nearest neighbours (Å) after each atom.
Space group Pm-3m (No. 221)
Unique sites:
Sr (0.0000, 0.0000, 0.0000) (multiplicity 1)  12 B 3.21
Hf (0.5000, 0.5000, 0.5000) (multiplicity 1)  6 B 2.27
B (0.0000, 0.5000, 0.5000) (multiplicity 3)  2 Hf 2.27

Computed properties:
The total energy comes out at -27.25 eV per cell. The energy above the most stable polymorph in this dataset is 0 meV/atom. The value obtained for the density of states at the Fermi level is 3.970 states/eV per cell.